Crystalline LaMnO3 at its relaxed geometry. Source: Alexandria via LeMat-Bulk, functional GGA+U.

crystal system = tetragonal
VASP energy = -0.5885 Ry per atom
total magnetic moment = 4.0 μB per formula unit

Cell: 5.5654 4.0005 5.5661 Å, 90.00 90.00 89.99°
Site moments in Bohr magnetons follow the coordinates.
Positions (direct):
O  0.4465  0.1959  0.6843  -0.03
La  0.9465  0.1959  0.6843  0.02
La  0.4465  0.1959  0.1843  0.02
O  0.7559  0.6959  0.8814  -0.03
O  0.9465  0.1959  0.1843  -0.03
Mn  0.4466  0.6959  0.6843  4.07
O  0.6437  0.6958  0.3749  -0.03
O  0.2493  0.6959  0.9936  -0.03
Mn  0.9465  0.6959  0.1843  3.86
O  0.1372  0.6959  0.4872  -0.03